1.
Crystalline TaBSeBr2 at its relaxed geometry, computed with PBE.

DOS at the Fermi energy   0.82 states/eV/atom
Crystal system   tetragonal
Final energy   -4.286 eV/atom
Uncorrected formation energy   0.79 eV/atom

```
data_TaBSeBr2
_cell_length_a 5.1613
_cell_length_b 5.1613
_cell_length_c 5.0228
_cell_angle_alpha 90.00
_cell_angle_beta 90.00
_cell_angle_gamma 90.00
_space_group_name_H-M_alt 'P 4/m m m'
_space_group_IT_number 123
_space_group_name_Hall '-P 4 2'
loop_
_atom_site_label
_atom_site_type_symbol
_atom_site_fract_x
_atom_site_fract_y
_atom_site_fract_z
Ta1 Ta 0.0000 0.0000 0.0000
B1 B 0.5000 0.5000 0.5000
Se1 Se 0.0000 0.0000 0.5000
Br1 Br 0.0000 0.5000 0.0000
```

***

2.
Crystalline Th5Te2Ru2 at its relaxed geometry, computed with PBE.

DOS at the Fermi energy   1.01 states/eV/atom
Crystal system   orthorhombic
Final energy   -7.613 eV/atom
Uncorrected formation energy   -0.73 eV/atom

```
data_Th5Te2Ru2
_cell_length_a 16.0710
_cell_length_b 8.5005
_cell_length_c 7.5403
_cell_angle_alpha 90.00
_cell_angle_beta 90.00
_cell_angle_gamma 90.00
_space_group_name_H-M_alt 'C m c e'
_space_group_IT_number 64
_space_group_name_Hall '-C 2ac 2'
loop_
_atom_site_label
_atom_site_type_symbol
_atom_site_fract_x
_atom_site_fract_y
_atom_site_fract_z
Th1 Th 0.0000 0.0000 0.0000
Th2 Th 0.1156 0.1701 0.3516
Te1 Te 0.2057 0.0000 0.0000
Ru1 Ru 0.0000 0.1122 0.6650
```